No. 1
## SiPtS2Cl (GGA-PBEsol)

Data for SiPtS2Cl after structural relaxation.

a = 4.5050 Å, b = 4.5050 Å, c = 4.2483 Å
α = 90.00°, β = 90.00°, γ = 90.00°
Fractional positions:
Si 0.0000 0.0000 0.0000
Pt 0.5000 0.5000 0.5000
S 0.0000 0.5000 0.0000
S 0.5000 0.0000 0.0000
Cl 0.0000 0.0000 0.5000

## Properties
Size of the total moment in Bohr magnetons per cell: 0.0
Volume in Å³ per cell: 86.22
Uncorrected formation energy in eV per atom: 0.54
VASP energy in eV/atom: -4.16
Space group: No. 123

No. 2
## SbMoBr2 (GGA-PBEsol)

Data for SbMoBr2 after structural relaxation.

a = 10.6753 Å, b = 10.6753 Å, c = 10.6753 Å
α = 17.33°, β = 17.33°, γ = 17.33°
Fractional positions:
Sb 0.0000 0.0000 0.0000
Mo 0.5000 0.5000 0.5000
Br 0.2239 0.2239 0.2239
Br 0.7761 0.7761 0.7761

## Properties
Size of the total moment in Bohr magnetons per cell: 0.0
Volume in Å³ per cell: 94.20
Uncorrected formation energy in eV per atom: 0.06
VASP energy in eV/atom: -4.95
Space group: No. 166

No. 3
## SmTaO4 (GGA-PBEsol)

Data for SmTaO4 after structural relaxation.

a = 5.1819 Å, b = 5.5072 Å, c = 5.3659 Å
α = 90.00°, β = 96.98°, γ = 90.00°
Fractional positions:
Sm 0.0000 0.2356 0.2500
Sm 0.0000 0.7644 0.7500
Ta 0.5000 0.3103 0.7500
Ta 0.5000 0.6897 0.2500
O 0.2530 0.0860 0.6068
O 0.2530 0.9140 0.1068
O 0.2710 0.4405 0.9905
O 0.2710 0.5595 0.4905
O 0.7290 0.4405 0.5095
O 0.7290 0.5595 0.0095
O 0.7470 0.0860 0.8932
O 0.7470 0.9140 0.3932

## Properties
Size of the total moment in Bohr magnetons per cell: 0.0
Volume in Å³ per cell: 152.00
Uncorrected formation energy in eV per atom: -3.26
VASP energy in eV/atom: -9.70
Space group: No. 13

No. 4
## CrSbF10 (GGA-PBEsol)

Data for CrSbF10 after structural relaxation.

a = 5.6500 Å, b = 10.2910 Å, c = 12.0694 Å
α = 90.00°, β = 99.93°, γ = 90.00°
Fractional positions:
Cr 0.1754 0.2446 0.2996
Cr 0.1754 0.2554 0.7996
Cr 0.8246 0.7446 0.2004
Cr 0.8246 0.7554 0.7004
Sb 0.5000 0.0000 0.0000
Sb 0.5000 0.0000 0.5000
Sb 0.5000 0.5000 0.0000
Sb 0.5000 0.5000 0.5000
F 0.0211 0.6956 0.6225
F 0.0211 0.8044 0.1225
F 0.0253 0.1060 0.2562
F 0.0253 0.3940 0.7562
F 0.0794 0.1731 0.6784
F 0.0794 0.3269 0.1784
F 0.2282 0.5787 0.0416
F 0.2282 0.9213 0.5416
F 0.2456 0.0570 0.0701
F 0.2456 0.4430 0.5701
F 0.3021 0.1556 0.4495
F 0.3021 0.3444 0.9495
F 0.3260 0.6504 0.4487
F 0.3260 0.8496 0.9487
F 0.3599 0.0911 0.8590
F 0.3599 0.4089 0.3590
F 0.4221 0.5722 0.8548
F 0.4221 0.9278 0.3548
F 0.4513 0.2033 0.2741
F 0.4513 0.2967 0.7741
F 0.5487 0.7033 0.2259
F 0.5487 0.7967 0.7259
F 0.5779 0.0722 0.6452
F 0.5779 0.4278 0.1452
F 0.6401 0.5911 0.6410
F 0.6401 0.9089 0.1410
F 0.6740 0.1504 0.0513
F 0.6740 0.3496 0.5513
F 0.6979 0.6556 0.0505
F 0.6979 0.8444 0.5505
F 0.7544 0.5570 0.4299
F 0.7544 0.9430 0.9299
F 0.7718 0.0787 0.4584
F 0.7718 0.4213 0.9584
F 0.9206 0.6731 0.8216
F 0.9206 0.8269 0.3216
F 0.9747 0.6060 0.2438
F 0.9747 0.8940 0.7438
F 0.9789 0.1956 0.8775
F 0.9789 0.3044 0.3775

## Properties
Size of the total moment in Bohr magnetons per cell: 4.0
Volume in Å³ per cell: 691.26
Uncorrected formation energy in eV per atom: -2.24
VASP energy in eV/atom: -5.08
Space group: No. 14

No. 5
## LiP2Os (GGA-PBEsol)

Data for LiP2Os after structural relaxation.

a = 2.8430 Å, b = 2.8430 Å, c = 7.9948 Å
α = 90.00°, β = 90.00°, γ = 120.78°
Fractional positions:
Li 0.0000 0.0000 0.0000
P 0.5000 0.5000 0.2565
P 0.5000 0.5000 0.7435
Os 0.0000 0.0000 0.5000

## Properties
Size of the total moment in Bohr magnetons per cell: 0.0
DFT formation energy in eV/atom: 0.053
Volume in Å³ per cell: 55.52
VASP energy in eV/atom: -6.39
Space group: No. 65

No. 6
## ZrSc2Cd (GGA-PBEsol)

Data for ZrSc2Cd after structural relaxation.

a = 10.4149 Å, b = 10.4149 Å, c = 10.4149 Å
α = 17.52°, β = 17.52°, γ = 17.52°
Fractional positions:
Zr 0.0000 0.0000 0.0000
Sc 0.5022 0.5022 0.5022
Sc 0.7480 0.7480 0.7480
Cd 0.2501 0.2501 0.2501

## Properties
Size of the total moment in Bohr magnetons per cell: 0.2
DFT formation energy in eV/atom: -0.022
Volume in Å³ per cell: 89.32
VASP energy in eV/atom: -5.90
Space group: No. 160

No. 7
## Nb2CN (GGA-PBEsol)

Data for Nb2CN after structural relaxation.

a = 5.4653 Å, b = 5.4653 Å, c = 5.4653 Å
α = 33.46°, β = 33.46°, γ = 33.46°
Fractional positions:
Nb 0.2439 0.2439 0.2439
Nb 0.7561 0.7561 0.7561
C 0.5000 0.5000 0.5000
N 0.0000 0.0000 0.0000

## Properties
Size of the total moment in Bohr magnetons per cell: 0.0
Volume in Å³ per cell: 44.19
Uncorrected formation energy in eV per atom: -0.85
VASP energy in eV/atom: -10.80
Space group: No. 166

No. 8
## CsSc3Ru (GGA-PBEsol)

Data for CsSc3Ru after structural relaxation.

a = 5.1573 Å, b = 5.1573 Å, c = 5.1573 Å
α = 90.00°, β = 90.00°, γ = 90.00°
Fractional positions:
Cs 0.0000 0.0000 0.0000
Sc 0.0000 0.5000 0.5000
Sc 0.5000 0.0000 0.5000
Sc 0.5000 0.5000 0.0000
Ru 0.5000 0.5000 0.5000

## Properties
Size of the total moment in Bohr magnetons per cell: 0.0
DFT formation energy in eV/atom: 0.204
Volume in Å³ per cell: 137.17
VASP energy in eV/atom: -5.98
Space group: No. 221

No. 9
## MgTaCd2B (GGA-PBEsol)

Data for MgTaCd2B after structural relaxation.

a = 5.3582 Å, b = 5.3582 Å, c = 4.1903 Å
α = 90.00°, β = 90.00°, γ = 90.00°
Fractional positions:
Mg 0.0000 0.0000 0.0000
Ta 0.5000 0.5000 0.5000
Cd 0.0000 0.5000 0.5000
Cd 0.5000 0.0000 0.5000
B 0.5000 0.5000 0.0000

## Properties
Size of the total moment in Bohr magnetons per cell: 0.0
DFT formation energy in eV/atom: 1.126
Volume in Å³ per cell: 120.31
VASP energy in eV/atom: -3.61
Space group: No. 123

No. 10
## Ca2LaMn (GGA-PBEsol)

Data for Ca2LaMn after structural relaxation.

a = 6.9789 Å, b = 6.9789 Å, c = 6.9789 Å
α = 149.99°, β = 134.21°, γ = 55.72°
Fractional positions:
Ca 0.2005 0.2005 0.0000
Ca 0.7995 0.7995 0.0000
La 0.5000 0.0000 0.5000
Mn 0.0000 0.5000 0.5000

## Properties
Size of the total moment in Bohr magnetons per cell: 2.9
DFT formation energy in eV/atom: 0.376
Volume in Å³ per cell: 121.08
VASP energy in eV/atom: -4.47
Space group: No. 71

No. 11
## POs2Br (GGA-PBEsol)

Data for POs2Br after structural relaxation.

a = 3.6245 Å, b = 7.2213 Å, c = 7.2213 Å
α = 22.42°, β = 90.00°, γ = 90.00°
Fractional positions:
P 0.0000 0.0000 0.0000
Os 0.0000 0.1683 0.1683
Os 0.5000 0.5816 0.5816
Br 0.5000 0.3008 0.3008

## Properties
Size of the total moment in Bohr magnetons per cell: 0.0
Volume in Å³ per cell: 72.09
Uncorrected formation energy in eV per atom: 0.39
VASP energy in eV/atom: -7.63
Space group: No. 38

No. 12
## KCaIn4 (GGA-PBEsol)

Data for KCaIn4 after structural relaxation.

a = 6.1489 Å, b = 6.1489 Å, c = 6.1489 Å
α = 60.00°, β = 60.00°, γ = 60.00°
Fractional positions:
K 0.0000 0.0000 0.0000
Ca 0.7500 0.7500 0.7500
In 0.3751 0.3751 0.3751
In 0.3751 0.3751 0.8748
In 0.3751 0.8748 0.3751
In 0.8748 0.3751 0.3751

## Properties
Size of the total moment in Bohr magnetons per cell: 0.0
DFT formation energy in eV/atom: -0.239
Volume in Å³ per cell: 164.39
VASP energy in eV/atom: -2.77
Space group: No. 216

No. 13
## Sr2Ga3Au6 (GGA-PBEsol)

Data for Sr2Ga3Au6 after structural relaxation.

a = 8.7325 Å, b = 8.7325 Å, c = 8.7325 Å
α = 57.48°, β = 57.48°, γ = 57.48°
Fractional positions:
Sr 0.0894 0.0894 0.0894
Sr 0.4106 0.4106 0.4106
Sr 0.5894 0.5894 0.5894
Sr 0.9106 0.9106 0.9106
Ga 0.0565 0.2500 0.4435
Ga 0.2500 0.4435 0.0565
Ga 0.4435 0.0565 0.2500
Ga 0.5565 0.9435 0.7500
Ga 0.7500 0.5565 0.9435
Ga 0.9435 0.7500 0.5565
Au 0.0231 0.6354 0.2961
Au 0.1354 0.5231 0.7961
Au 0.2039 0.8646 0.4769
Au 0.2961 0.0231 0.6354
Au 0.3646 0.7039 0.9769
Au 0.4769 0.2039 0.8646
Au 0.5231 0.7961 0.1354
Au 0.6354 0.2961 0.0231
Au 0.7039 0.9769 0.3646
Au 0.7961 0.1354 0.5231
Au 0.8646 0.4769 0.2039
Au 0.9769 0.3646 0.7039

## Properties
Size of the total moment in Bohr magnetons per cell: 0.0
DFT formation energy in eV/atom: -0.571
Volume in Å³ per cell: 443.55
VASP energy in eV/atom: -3.96
Space group: No. 167

No. 14
## NbGaSe2Br (GGA-PBEsol)

Data for NbGaSe2Br after structural relaxation.

a = 5.0207 Å, b = 5.0207 Å, c = 5.0290 Å
α = 90.00°, β = 90.00°, γ = 90.00°
Fractional positions:
Nb 0.0000 0.0000 0.0000
Ga 0.5000 0.5000 0.0000
Se 0.0000 0.5000 0.5000
Se 0.5000 0.0000 0.5000
Br 0.5000 0.5000 0.5000

## Properties
Size of the total moment in Bohr magnetons per cell: 3.2
Volume in Å³ per cell: 126.77
Uncorrected formation energy in eV per atom: 1.16
VASP energy in eV/atom: -3.58
Space group: No. 123

No. 15
## FeBRh3 (GGA-PBEsol)

Data for FeBRh3 after structural relaxation.

a = 4.3029 Å, b = 4.3029 Å, c = 4.3029 Å
α = 90.00°, β = 90.00°, γ = 90.00°
Fractional positions:
Fe 0.0000 0.0000 0.0000
B 0.5000 0.5000 0.5000
Rh 0.0000 0.0000 0.5000
Rh 0.0000 0.5000 0.0000
Rh 0.5000 0.0000 0.0000

## Properties
Size of the total moment in Bohr magnetons per cell: 0.0
DFT formation energy in eV/atom: 1.915
Volume in Å³ per cell: 79.67
VASP energy in eV/atom: -6.16
Space group: No. 221

No. 16
## CaHg (GGA-PBEsol)

Data for CaHg after structural relaxation.

a = 3.7102 Å, b = 3.7102 Å, c = 3.7102 Å
α = 90.00°, β = 90.00°, γ = 90.00°
Fractional positions:
Ca 0.0000 0.0000 0.0000
Hg 0.5000 0.5000 0.5000

## Properties
Size of the total moment in Bohr magnetons per cell: 0.0
DFT formation energy in eV/atom: -0.618
Volume in Å³ per cell: 51.07
VASP energy in eV/atom: -1.97
Space group: No. 221

No. 17
## ReRu2W (GGA-PBEsol)

Data for ReRu2W after structural relaxation.

a = 2.7266 Å, b = 3.8272 Å, c = 5.4566 Å
α = 90.00°, β = 90.00°, γ = 90.00°
Fractional positions:
Re 0.0000 0.0000 0.0000
Ru 0.5000 0.5000 0.2447
Ru 0.5000 0.5000 0.7553
W 0.0000 0.0000 0.5000

## Properties
Size of the total moment in Bohr magnetons per cell: 0.0
DFT formation energy in eV/atom: 0.029
Volume in Å³ per cell: 56.94
VASP energy in eV/atom: -11.84
Space group: No. 47

No. 18
## LaGa3Co10 (GGA-PBEsol)

Data for LaGa3Co10 after structural relaxation.

a = 7.9928 Å, b = 7.9605 Å, c = 7.8733 Å
α = 60.63°, β = 60.22°, γ = 59.14°
Fractional positions:
La 0.0000 0.0000 0.5000
La 0.5000 0.5000 0.0000
Ga 0.0522 0.6930 0.9478
Ga 0.1893 0.5495 0.4505
Ga 0.4429 0.8013 0.5571
Ga 0.5495 0.1893 0.8107
Ga 0.6930 0.0522 0.3070
Ga 0.8013 0.4429 0.1987
Co 0.0442 0.8119 0.1881
Co 0.0469 0.4485 0.3133
Co 0.1841 0.9657 0.8159
Co 0.1845 0.3063 0.0547
Co 0.2469 0.2469 0.7531
Co 0.3063 0.1845 0.4545
Co 0.3083 0.9535 0.0465
Co 0.3109 0.5354 0.6891
Co 0.4485 0.0469 0.1913
Co 0.4539 0.6944 0.3056
Co 0.5354 0.3109 0.4646
Co 0.5455 0.9453 0.6937
Co 0.6867 0.8087 0.9531
Co 0.6944 0.4539 0.5461
Co 0.7471 0.7471 0.2529
Co 0.8087 0.6867 0.5515
Co 0.8119 0.0442 0.9558
Co 0.9453 0.5455 0.8155
Co 0.9535 0.3083 0.6917
Co 0.9657 0.1841 0.0343

## Properties
Size of the total moment in Bohr magnetons per cell: 22.0
DFT formation energy in eV/atom: -0.197
Volume in Å³ per cell: 354.10
VASP energy in eV/atom: -6.82
Space group: No. 42

No. 19
## Ba2TePd (GGA-PBEsol)

Data for Ba2TePd after structural relaxation.

a = 7.4249 Å, b = 7.4249 Å, c = 7.4249 Å
α = 110.51°, β = 110.51°, γ = 107.42°
Fractional positions:
Ba 0.0946 0.6250 0.9696
Ba 0.3750 0.3446 0.4696
Ba 0.6554 0.1250 0.0304
Ba 0.8750 0.9054 0.5304
Te 0.2500 0.7500 0.5000
Te 0.5000 0.5000 0.0000
Pd 0.0000 0.0000 0.0000
Pd 0.7500 0.2500 0.5000

## Properties
Size of the total moment in Bohr magnetons per cell: 0.0
Volume in Å³ per cell: 314.80
Uncorrected formation energy in eV per atom: -0.76
VASP energy in eV/atom: -4.21
Space group: No. 122

No. 20
## Sr2Sc (GGA-PBEsol)

Data for Sr2Sc after structural relaxation.

a = 5.9032 Å, b = 5.9032 Å, c = 5.9032 Å
α = 60.00°, β = 60.00°, γ = 60.00°
Fractional positions:
Sr 0.2500 0.2500 0.2500
Sr 0.7500 0.7500 0.7500
Sc 0.0000 0.0000 0.0000

## Properties
Size of the total moment in Bohr magnetons per cell: 1.0
DFT formation energy in eV/atom: 0.731
Volume in Å³ per cell: 145.46
VASP energy in eV/atom: -2.70
Space group: No. 225

No. 21
## TiMoC2 (GGA-PBEsol)

Data for TiMoC2 after structural relaxation.

a = 5.3056 Å, b = 5.3056 Å, c = 5.3056 Å
α = 33.20°, β = 33.20°, γ = 33.20°
Fractional positions:
Ti 0.0000 0.0000 0.0000
Mo 0.5000 0.5000 0.5000
C 0.2511 0.2511 0.2511
C 0.7489 0.7489 0.7489

## Properties
Size of the total moment in Bohr magnetons per cell: 0.0
DFT formation energy in eV/atom: -0.513
Volume in Å³ per cell: 39.86
VASP energy in eV/atom: -10.36
Space group: No. 166

No. 22
## RuPt2W (GGA-PBEsol)

Data for RuPt2W after structural relaxation.

a = 4.7606 Å, b = 4.7606 Å, c = 4.7896 Å
α = 99.20°, β = 99.20°, γ = 33.14°
Fractional positions:
Ru 0.0000 0.0000 0.0000
Pt 0.5052 0.5052 0.5101
Pt 0.7477 0.7477 0.2489
W 0.2534 0.2534 0.7579

## Properties
Size of the total moment in Bohr magnetons per cell: 0.0
DFT formation energy in eV/atom: -0.114
Volume in Å³ per cell: 58.51
VASP energy in eV/atom: -9.59
Space group: No. 8

No. 23
## AgMoBr2 (GGA-PBEsol)

Data for AgMoBr2 after structural relaxation.

a = 3.3966 Å, b = 7.6161 Å, c = 7.6161 Å
α = 27.33°, β = 90.00°, γ = 90.00°
Fractional positions:
Ag 0.0000 0.0000 0.0000
Mo 0.5000 0.4157 0.4157
Br 0.0000 0.2930 0.2930
Br 0.5000 0.5933 0.5933

## Properties
Size of the total moment in Bohr magnetons per cell: 0.9
Volume in Å³ per cell: 90.45
Uncorrected formation energy in eV per atom: 0.19
VASP energy in eV/atom: -4.51
Space group: No. 38

No. 24
## ZrTc2Ru (GGA-PBEsol)

Data for ZrTc2Ru after structural relaxation.

a = 5.1768 Å, b = 5.1768 Å, c = 5.1768 Å
α = 145.26°, β = 128.18°, γ = 63.90°
Fractional positions:
Zr 0.0000 0.0000 0.0000
Tc 0.5093 0.5093 0.0000
Tc 0.7451 0.2451 0.5000
Ru 0.2572 0.7572 0.5000

## Properties
Size of the total moment in Bohr magnetons per cell: 0.0
DFT formation energy in eV/atom: 0.009
Volume in Å³ per cell: 61.42
VASP energy in eV/atom: -10.44
Space group: No. 44